No. 1
Material: Pr8ZnSn2
Method: DFT, GGA-PBE
State: relaxed

Cell lengths 19.8571, 5.2831, 6.9869 Å; angles 90.00, 105.87, 90.00 degrees
With the nearest neighbours (Å) after each atom.
Space group C2/m (No. 12)
Unique sites:
Pr (0.0133, 0.0000, 0.2783) x4  2 Zn 3.11, 1 Pr 3.28, 1 Sn 3.34
Pr (0.0919, 0.5000, 0.9745) x4  1 Zn 3.32, 2 Sn 3.43, 3 Pr 3.50-3.53
Pr (0.1540, 0.5000, 0.4947) x4  1 Zn 3.07, 3 Sn 3.26-3.33
Pr (0.2139, 0.0000, 0.8148) x4  3 Sn 3.29-3.50, 2 Pr 3.46
Zn (0.0000, 0.5000, 0.5000) x2  8 Pr 3.07-3.32
Sn (0.1780, 0.0000, 0.2474) x4  9 Pr 3.26-3.50

Size of the total moment = 0.0 μB per cell
DFT total energy = -4.646 eV/atom



No. 2
Material: SmErIn
Method: DFT, GGA-PBE
State: relaxed

Cell lengths 4.6093, 4.6093, 8.4396 Å; angles 90.00, 90.00, 90.00 degrees
With the nearest neighbours (Å) after each atom.
Space group P4/nmm (No. 129, origin choice 2)
Unique sites:
Sm (0.2500, 0.7500, 0.0000) x2  4 Sm 3.26, 4 In 3.28
Er (0.2500, 0.2500, 0.3561) x2  5 In 3.10-3.33
In (0.2500, 0.2500, 0.7230) x2  5 Er 3.10-3.33, 4 Sm 3.28

Energy relative to the lowest polymorph listed for this composition = 72 meV per atom
Size of the total moment = 0.0 μB per cell
DFT total energy = -4.237 eV/atom



No. 3
Material: Os3Se
Method: DFT, GGA-PBE
State: relaxed

Cell lengths 5.6821, 5.6821, 8.6333 Å; angles 90.00, 90.00, 120.00 degrees
With the nearest neighbours (Å) after each atom.
Space group P6_3/mmc (No. 194)
Unique sites:
Os (0.0000, 0.5000, 0.0000) x6  4 Se 2.71-2.84, 8 Os 2.71-2.84
Os (0.1655, 0.3309, 0.2500) x6  4 Se 2.70-2.84, 8 Os 2.71-2.86
Se (0.0000, 0.0000, 0.0000) x2  12 Os 2.70-2.84
Se (0.3333, 0.6667, 0.7500) x2  12 Os 2.71-2.84

Energy relative to the lowest polymorph listed for this composition = 483 meV per atom
Size of the total moment = 0.0 μB per cell
DFT total energy = -8.277 eV/atom
Energy relative to the elements, uncorrected = 1.016 eV per atom



No. 4
Material: Pr2PuThSe4
Method: DFT, GGA-PBE
State: relaxed

Cell lengths 7.3173, 4.2003, 7.3235 Å; angles 90.00, 109.23, 90.00 degrees
With the nearest neighbours (Å) after each atom.
Space group P2/m (No. 10)
Unique sites:
Pr (0.0000, 0.0000, 0.0000) x1  6 Se 3.00
Pr (0.5000, 0.5000, 0.0000) x1  6 Se 3.03
Pu (0.0000, 0.5000, 0.5000) x1  6 Se 2.94
Th (0.5000, 0.0000, 0.5000) x1  6 Se 2.97
Se (0.2441, 0.0000, 0.7412) x2  2 Pu 2.94, 1 Th 2.97, 3 Pr 3.00-3.03
Se (0.2488, 0.5000, 0.2558) x2  1 Pu 2.94, 2 Th 2.97, 3 Pr 3.00-3.03

Size of the total moment = 5.8 μB per cell
DFT total energy = -7.349 eV/atom
Energy relative to the elements, uncorrected = -1.693 eV per atom